Record 1
Density functional theory data (PBE) for a geometry-optimized Sr2Li3AgSn4 structure.

Values from the calculation:
The space group is No. 115. The total energy comes out at -0.1183 Ha/atom. As for the volume: 25.15 Å³ per atom. For the energy relative to the elements, the calculation gives -41 kJ per mole of atoms.

Cell: 4.709 4.709 11.339 Å, 90.00 90.00 90.00°
Fractional coordinates of all 10 atoms:
Sr (0.000, 0.500, 0.245)
Sr (0.500, 0.000, 0.755)
Li (0.000, 0.000, 0.000)
Li (0.000, 0.500, 0.634)
Li (0.500, 0.000, 0.366)
Ag (0.500, 0.500, 0.000)
Sn (0.000, 0.000, 0.500)
Sn (0.000, 0.500, 0.871)
Sn (0.500, 0.000, 0.129)
Sn (0.500, 0.500, 0.500)

---

Record 2
Density functional theory data (PBE) for a geometry-optimized SrLiAg3Sn structure.

Values from the calculation:
The space group is No. 63. The total energy comes out at -0.1072 Ha/atom. As for the volume: 22.79 Å³ per atom. For the energy relative to the elements, the calculation gives -22 kJ per mole of atoms.

Cell: 7.405 7.405 6.608 Å, 90.00 90.00 131.01°
Fractional coordinates of all 12 atoms:
Sr (0.197, 0.803, 0.750)
Sr (0.803, 0.197, 0.250)
Li (0.420, 0.580, 0.750)
Li (0.580, 0.420, 0.250)
Ag (0.232, 0.232, 0.000)
Ag (0.232, 0.232, 0.500)
Ag (0.364, 0.636, 0.250)
Ag (0.636, 0.364, 0.750)
Ag (0.768, 0.768, 0.000)
Ag (0.768, 0.768, 0.500)
Sn (0.146, 0.854, 0.250)
Sn (0.854, 0.146, 0.750)

---

Record 3
Density functional theory data (PBE) for a geometry-optimized SrLi2Ag2Sn2 structure.

Values from the calculation:
The space group is No. 166. The total energy comes out at -0.1144 Ha/atom. As for the volume: 23.57 Å³ per atom. For the energy relative to the elements, the calculation gives -35 kJ per mole of atoms.

Cell: 9.242 9.242 9.242 Å, 29.08 29.08 29.08°
Fractional coordinates of all 7 atoms:
Sr (0.000, 0.000, 0.000)
Li (0.142, 0.142, 0.142)
Li (0.858, 0.858, 0.858)
Ag (0.445, 0.445, 0.445)
Ag (0.555, 0.555, 0.555)
Sn (0.251, 0.251, 0.251)
Sn (0.749, 0.749, 0.749)

---

Record 4
Density functional theory data (PBE) for a geometry-optimized Sr2LiAg6Sn structure.

Values from the calculation:
The space group is No. 2. The total energy comes out at -0.1033 Ha/atom. As for the volume: 25.36 Å³ per atom. For the energy relative to the elements, the calculation gives -17 kJ per mole of atoms.

Cell: 5.672 7.218 7.304 Å, 80.96 67.22 66.88°
Fractional coordinates of all 10 atoms:
Sr (0.033, 0.227, 0.208)
Sr (0.967, 0.773, 0.792)
Li (0.500, 0.000, 0.500)
Ag (0.011, 0.239, 0.740)
Ag (0.333, 0.413, 0.421)
Ag (0.493, 0.761, 0.259)
Ag (0.507, 0.239, 0.741)
Ag (0.667, 0.587, 0.579)
Ag (0.989, 0.761, 0.260)
Sn (0.500, 0.500, 0.000)

---

Number 1: magnetic moment 0.000 μB per atom. Number 2: magnetic moment 0.000 μB per atom. Number 3: magnetic moment 0.000 μB per atom. Number 4: magnetic moment 0.000 μB per atom.